(1)
A plane-wave DFT calculation with PBE was carried out for a relaxed structure of AlPSe.

Values from the calculation:
Raw formation energy: -43.4 kJ/mol of atoms
Crystal system: orthorhombic

a = 3.852 Å, b = 5.006 Å, c = 6.093 Å
α = 90.00°, β = 90.00°, γ = 90.00°
Space group Pmn2_1 (No. 31)
Symmetry-distinct sites (fractional):
Al (0.000, 0.207, 0.000) x2
P (0.000, 0.061, 0.616) x2
Se (0.000, 0.434, 0.394) x2

(2)
A plane-wave DFT calculation with PBE was carried out for a relaxed structure of Pr2Ni4AsP3.

Values from the calculation:
Fermi-level density of states: 3.75 states/eV/f.u.
Calculated formation energy: -924 meV/atom
Crystal system: tetragonal

a = 4.105 Å, b = 4.105 Å, c = 9.309 Å
α = 90.00°, β = 90.00°, γ = 90.00°
Space group P-4m2 (No. 115)
Symmetry-distinct sites (fractional):
Pr (0.000, 0.500, 0.247) x2
Ni (0.000, 0.000, 0.000) x1
Ni (0.000, 0.500, 0.622) x2
Ni (0.500, 0.500, 0.000) x1
As (0.000, 0.000, 0.500) x1
P (0.000, 0.500, 0.873) x2
P (0.500, 0.500, 0.500) x1

(3)
A plane-wave DFT calculation with PBE was carried out for a relaxed structure of YBeIn4.

Values from the calculation:
Fermi-level density of states: 6.97 states/eV/f.u.
Calculated formation energy: 321 meV/atom
Crystal system: cubic

a = 8.482 Å, b = 8.482 Å, c = 8.482 Å
α = 90.00°, β = 90.00°, γ = 90.00°
Space group F-43m (No. 216)
Symmetry-distinct sites (fractional):
Y (0.000, 0.000, 0.000) x4
Be (0.250, 0.250, 0.750) x4
In (0.125, 0.125, 0.375) x16

(4)
A plane-wave DFT calculation with PBE was carried out for a relaxed structure of P2HBrCl.

Values from the calculation:
Fermi-level density of states: 3.55 states/eV/f.u.
Crystal system: tetragonal

a = 4.283 Å, b = 4.283 Å, c = 4.383 Å
α = 90.00°, β = 90.00°, γ = 90.00°
Space group P4/mmm (No. 123)
Symmetry-distinct sites (fractional):
P (0.000, 0.500, 0.000) x2
H (0.000, 0.000, 0.000) x1
Br (0.500, 0.500, 0.500) x1
Cl (0.000, 0.000, 0.500) x1

| no. | electronic total energy (eV/atom) |
| --- | --- |
| 1 | -4.662 |
| 2 | -6.281 |
| 3 | -3.203 |
| 4 | -2.520 |